No. 1
The following is a DFT calculation (PBE-GGA) of crystalline SmAgSnS3 at its relaxed geometry. Values from VASP.

Offset from the most stable computed form in meV per atom: 57.1

Structure (Quantum ESPRESSO input):
```
&SYSTEM
  ibrav = 0, nat = 12, ntyp = 4
/
ATOMIC_SPECIES
Ag 107.87 Ag.upf
S 32.06 S.upf
Sm 150.36 Sm.upf
Sn 118.71 Sn.upf
CELL_PARAMETERS angstrom
4.035 0.000 0.000
2.018 6.540 0.000
0.000 0.000 10.559
ATOMIC_POSITIONS angstrom
Ag 2.018 0.436 2.640
Ag 4.035 6.104 7.919
S 2.018 1.884 0.615
S 2.018 5.321 2.640
S 2.018 1.884 4.664
S 4.035 4.656 5.895
S 4.035 1.219 7.919
S 4.035 4.656 9.943
Sm 0.000 0.000 0.000
Sm 0.000 0.000 5.279
Sn 4.035 3.260 2.640
Sn 2.018 3.280 7.919
```

---

No. 2
The following is a DFT calculation (PBE-GGA) of crystalline SmAgSnS3 at its relaxed geometry. Values from VASP.

Offset from the most stable computed form in meV per atom: 0.0

Structure (Quantum ESPRESSO input):
```
&SYSTEM
  ibrav = 0, nat = 24, ntyp = 4
/
ATOMIC_SPECIES
Ag 107.87 Ag.upf
S 32.06 S.upf
Sm 150.36 Sm.upf
Sn 118.71 Sn.upf
CELL_PARAMETERS angstrom
-4.876 3.994 -5.742
-3.209 -2.252 1.158
-3.976 11.525 11.393
ATOMIC_POSITIONS angstrom
Ag -3.345 0.021 1.595
Ag -6.865 5.155 1.825
Ag -5.196 8.112 4.984
Ag -8.717 13.245 5.214
S -4.405 0.389 -0.627
S -5.664 4.261 -3.796
S -6.436 3.459 -0.285
S -4.210 2.074 3.191
S -4.403 5.677 2.449
S -8.407 6.918 0.983
S -3.654 6.348 5.827
S -7.658 7.589 4.361
S -7.852 11.192 3.618
S -5.625 9.807 7.094
S -6.398 9.005 10.606
S -7.656 12.877 7.436
Sm -6.002 1.723 -2.458
Sm -5.103 4.187 4.823
Sm -6.958 9.080 1.986
Sm -6.059 11.544 9.267
Sn -3.464 3.624 1.057
Sn -5.960 5.788 -1.648
Sn -6.101 7.478 8.457
Sn -8.597 9.642 5.752
```

---

No. 3
The following is a DFT calculation (PBE-GGA) of crystalline SmAgSnS3 at its relaxed geometry. Values from VASP.

Offset from the most stable computed form in meV per atom: 1.6

Structure (Quantum ESPRESSO input):
```
&SYSTEM
  ibrav = 0, nat = 24, ntyp = 4
/
ATOMIC_SPECIES
Ag 107.87 Ag.upf
S 32.06 S.upf
Sm 150.36 Sm.upf
Sn 118.71 Sn.upf
CELL_PARAMETERS angstrom
11.924 0.000 0.000
0.000 4.050 0.000
0.000 0.000 12.447
ATOMIC_POSITIONS angstrom
Ag 9.552 0.000 1.348
Ag 3.590 0.000 4.875
Ag 8.333 2.025 7.572
Ag 2.371 2.025 11.098
S 7.235 0.000 0.618
S 11.758 0.000 2.328
S 2.977 2.025 2.536
S 8.939 2.025 3.687
S 5.797 0.000 3.895
S 1.273 0.000 5.606
S 10.650 2.025 6.841
S 6.127 2.025 8.551
S 2.984 0.000 8.760
S 8.946 0.000 9.910
S 0.165 2.025 10.119
S 4.689 2.025 11.829
Sm 5.839 2.025 1.938
Sm 11.801 2.025 4.285
Sm 0.123 0.000 8.161
Sm 6.084 0.000 10.509
Sn 2.077 0.000 1.012
Sn 8.039 0.000 5.211
Sn 3.884 2.025 7.236
Sn 9.846 2.025 11.434
```

---

No. 4
The following is a DFT calculation (PBE-GGA) of crystalline SmAgSnS3 at its relaxed geometry. Values from VASP.

Offset from the most stable computed form in meV per atom: 12.0

Structure (Quantum ESPRESSO input):
```
&SYSTEM
  ibrav = 0, nat = 24, ntyp = 4
/
ATOMIC_SPECIES
Ag 107.87 Ag.upf
S 32.06 S.upf
Sm 150.36 Sm.upf
Sn 118.71 Sn.upf
CELL_PARAMETERS angstrom
13.120 0.000 0.000
0.000 4.104 0.000
0.000 0.000 11.153
ATOMIC_POSITIONS angstrom
Ag 0.293 3.078 0.991
Ag 6.853 3.078 4.585
Ag 6.267 1.026 6.568
Ag 12.827 1.026 10.162
S 5.076 3.078 0.642
S 11.704 1.026 1.386
S 8.415 3.078 2.563
S 1.854 3.078 3.014
S 5.144 1.026 4.191
S 11.636 3.078 4.934
S 1.484 1.026 6.219
S 7.977 3.078 6.962
S 11.266 1.026 8.139
S 4.706 1.026 8.590
S 1.416 3.078 9.767
S 8.044 1.026 10.511
Sm 6.680 1.026 1.815
Sm 0.120 1.026 3.762
Sm 13.000 3.078 7.391
Sm 6.440 3.078 9.338
Sn 9.911 3.078 0.381
Sn 3.350 3.078 5.196
Sn 9.770 1.026 5.957
Sn 3.210 1.026 10.772
```

---

No. 5
The following is a DFT calculation (PBE-GGA) of crystalline SmAgSnS3 at its relaxed geometry. Values from VASP.

Offset from the most stable computed form in meV per atom: 38.7

Structure (Quantum ESPRESSO input):
```
&SYSTEM
  ibrav = 0, nat = 24, ntyp = 4
/
ATOMIC_SPECIES
Ag 107.87 Ag.upf
S 32.06 S.upf
Sm 150.36 Sm.upf
Sn 118.71 Sn.upf
CELL_PARAMETERS angstrom
10.619 0.000 0.000
0.000 4.099 0.000
0.000 0.000 13.039
ATOMIC_POSITIONS angstrom
Ag 8.125 1.025 2.870
Ag 2.815 1.025 3.650
Ag 7.804 3.075 9.390
Ag 2.494 3.075 10.169
S 6.171 1.025 1.344
S 10.241 1.025 1.470
S 2.742 3.075 2.057
S 8.052 3.075 4.463
S 4.932 1.025 5.050
S 0.861 1.025 5.175
S 9.758 3.075 7.864
S 5.687 3.075 7.989
S 2.567 1.025 8.576
S 7.877 1.025 10.982
S 0.378 3.075 11.569
S 4.448 3.075 11.695
Sm 5.519 3.075 3.011
Sm 0.209 3.075 3.509
Sm 10.410 1.025 9.530
Sm 5.100 1.025 10.028
Sn 2.034 1.025 0.138
Sn 7.344 1.025 6.381
Sn 3.276 3.075 6.658
Sn 8.585 3.075 12.901
```

---

No. 6
The following is a DFT calculation (PBE-GGA) of crystalline SmAgSnTe2S at its relaxed geometry. Values from VASP.

E in eV per cell: -53.007

Structure (Quantum ESPRESSO input):
```
&SYSTEM
  ibrav = 0, nat = 12, ntyp = 5
/
ATOMIC_SPECIES
Ag 107.87 Ag.upf
S 32.06 S.upf
Sm 150.36 Sm.upf
Sn 118.71 Sn.upf
Te 127.60 Te.upf
CELL_PARAMETERS angstrom
2.179 -7.260 0.000
2.179 7.260 0.000
0.000 0.000 10.479
ATOMIC_POSITIONS angstrom
Ag 2.179 7.012 2.620
Ag 2.179 -7.012 7.859
S 2.179 1.192 2.620
S 2.179 -1.192 7.859
Sm 2.179 0.000 0.000
Sm 2.179 0.000 5.240
Sn 2.179 -3.953 2.620
Sn 2.179 3.953 7.859
Te 2.179 5.044 0.618
Te 2.179 5.044 4.622
Te 2.179 -5.044 5.857
Te 2.179 -5.044 9.862
```

---

No. 7
The following is a DFT calculation (PBE-GGA) of crystalline SmTmAgS3 at its relaxed geometry. Values from VASP.

Offset from the most stable computed form in meV per atom: 0.0

Structure (Quantum ESPRESSO input):
```
&SYSTEM
  ibrav = 0, nat = 12, ntyp = 4
/
ATOMIC_SPECIES
Ag 107.87 Ag.upf
S 32.06 S.upf
Sm 150.36 Sm.upf
Tm 168.93 Tm.upf
CELL_PARAMETERS angstrom
7.461 0.000 0.000
0.000 3.875 0.000
-2.452 0.000 8.920
ATOMIC_POSITIONS angstrom
Ag 4.386 0.969 0.720
Ag 0.622 2.907 8.200
S 6.225 2.907 0.438
S 3.265 0.969 2.994
S -0.312 0.969 3.230
S 5.321 2.907 5.690
S 1.744 2.907 5.926
S -1.217 0.969 8.482
Sm 1.350 2.907 1.814
Sm 3.658 0.969 7.106
Tm 5.192 2.907 2.981
Tm -0.184 0.969 5.939
```

---

No. 8
The following is a DFT calculation (PBE-GGA) of crystalline SmTmAgS3 at its relaxed geometry. Values from VASP.

Offset from the most stable computed form in meV per atom: 16.3

Structure (Quantum ESPRESSO input):
```
&SYSTEM
  ibrav = 0, nat = 12, ntyp = 4
/
ATOMIC_SPECIES
Ag 107.87 Ag.upf
S 32.06 S.upf
Sm 150.36 Sm.upf
Tm 168.93 Tm.upf
CELL_PARAMETERS angstrom
-3.365 2.163 -7.728
-0.661 -0.300 -8.671
-4.798 -6.163 2.336
ATOMIC_POSITIONS angstrom
Ag -3.248 -0.861 -7.062
Ag -5.575 -3.439 -7.001
S -2.013 0.932 -8.200
S -2.020 -0.391 -4.770
S -4.390 -0.911 -10.201
S -2.399 -3.082 1.168
S -4.434 -3.388 -3.862
S -6.803 -3.909 -9.293
Sm -0.895 -0.195 -2.055
Sm -7.928 -4.104 -12.008
Tm -5.331 -0.966 -12.756
Tm -3.492 -3.334 -1.307
```

---

No. 9
The following is a DFT calculation (PBE-GGA) of crystalline Ag8SnS6 at its relaxed geometry. Values from VASP.

E in eV per cell: -213.232

Structure (Quantum ESPRESSO input):
```
&SYSTEM
  ibrav = 0, nat = 60, ntyp = 3
/
ATOMIC_SPECIES
Ag 107.87 Ag.upf
S 32.06 S.upf
Sn 118.71 Sn.upf
CELL_PARAMETERS angstrom
15.464 0.000 0.000
0.000 7.667 0.000
0.000 0.000 10.847
ATOMIC_POSITIONS angstrom
Ag 6.702 0.468 0.152
Ag 14.434 3.366 0.152
Ag 4.216 3.881 1.044
Ag 11.948 7.620 1.044
Ag 7.402 3.950 1.191
Ag 15.134 7.551 1.191
Ag 11.209 4.808 2.017
Ag 3.477 6.692 2.017
Ag 1.394 4.564 2.160
Ag 9.127 6.937 2.160
Ag 6.814 5.607 3.605
Ag 14.546 5.894 3.605
Ag 9.716 1.886 4.066
Ag 1.984 1.947 4.066
Ag 3.736 4.921 4.487
Ag 11.469 6.579 4.487
Ag 1.030 4.301 5.575
Ag 8.762 7.199 5.575
Ag 3.516 0.047 6.468
Ag 11.248 3.786 6.468
Ag 0.330 0.116 6.615
Ag 8.062 3.717 6.615
Ag 11.988 0.975 7.441
Ag 4.256 2.859 7.441
Ag 6.338 0.730 7.583
Ag 14.070 3.103 7.583
Ag 0.918 1.773 9.029
Ag 8.651 2.060 9.029
Ag 13.481 5.720 9.489
Ag 5.749 5.781 9.489
Ag 3.996 1.088 9.910
Ag 11.728 2.746 9.910
S 13.537 5.620 1.163
S 5.805 5.881 1.163
S 7.752 1.752 2.365
S 0.020 2.082 2.365
S 3.852 1.696 2.380
S 11.584 2.138 2.380
S 9.472 5.273 3.970
S 1.740 6.227 3.970
S 13.505 0.101 5.210
S 5.773 3.733 5.210
S 13.613 3.990 5.245
S 5.881 7.510 5.245
S 9.660 1.786 6.586
S 1.928 2.047 6.586
S 15.444 5.585 7.788
S 7.712 5.915 7.788
S 3.880 5.529 7.804
S 11.612 5.971 7.804
S 13.724 1.440 9.394
S 5.992 2.394 9.394
S 9.692 3.934 10.634
S 1.959 7.566 10.634
S 9.584 0.157 10.668
S 1.851 3.677 10.668
Sn 5.801 1.766 3.787
Sn 13.533 2.067 3.787
Sn 1.931 5.600 9.211
Sn 9.663 5.901 9.211
```

---

No. 10
The following is a DFT calculation (PBE-GGA) of crystalline Ag4Sn3S8 at its relaxed geometry. Values from VASP.

E in eV per cell: -240.201

Structure (Quantum ESPRESSO input):
```
&SYSTEM
  ibrav = 0, nat = 60, ntyp = 3
/
ATOMIC_SPECIES
Ag 107.87 Ag.upf
S 32.06 S.upf
Sn 118.71 Sn.upf
CELL_PARAMETERS angstrom
-5.314 6.726 6.726
-4.845 -8.544 4.716
8.186 -0.690 7.158
ATOMIC_POSITIONS angstrom
Ag -6.915 0.302 9.679
Ag -1.661 -2.486 3.732
Ag -3.998 -2.904 6.365
Ag -1.518 1.488 4.284
Ag -3.337 -1.516 9.558
Ag -0.857 2.877 7.477
Ag -5.810 -2.154 12.656
Ag 1.866 -0.670 4.351
Ag -0.089 0.753 10.209
Ag 2.635 -2.795 7.083
Ag 0.298 -3.213 9.715
Ag 0.482 -7.215 9.450
Ag 0.426 2.225 13.908
Ag 3.226 2.836 11.096
Ag -1.727 -2.195 16.275
Ag 1.190 -5.401 12.961
S -5.524 -1.006 7.898
S -2.961 -0.489 5.190
S -3.200 3.104 5.820
S -5.515 2.591 8.565
S -0.254 -0.323 2.398
S -7.948 -1.799 11.200
S -2.607 -4.884 4.805
S -5.005 -5.256 7.684
S -2.397 0.738 8.636
S -2.479 4.450 9.261
S 0.440 -2.907 5.224
S -4.638 0.229 11.481
S -1.800 -6.956 7.672
S -1.785 -3.360 8.149
S -4.193 -3.591 10.890
S 0.799 1.207 5.817
S -1.543 2.066 11.934
S 1.379 -5.191 8.066
S -3.686 -2.059 14.171
S -1.226 -1.558 11.552
S -1.044 -5.381 11.106
S 1.480 2.809 9.156
S 1.463 -0.833 8.834
S 4.032 -0.476 6.104
S -0.577 -0.023 14.775
S -0.324 -3.750 14.300
S 2.081 -3.120 11.619
S 1.990 0.458 12.215
S 4.594 0.907 9.411
S 4.724 -2.702 9.061
S 1.828 4.255 13.054
S 2.321 -7.284 11.550
Sn -4.262 0.994 6.862
Sn -4.343 4.711 7.494
Sn -3.844 -6.822 5.991
Sn -3.539 2.337 10.311
Sn -0.618 -4.924 6.451
Sn -3.016 -5.293 9.338
Sn -2.593 0.048 13.156
Sn -2.334 -3.684 12.680
Sn 2.659 1.108 7.612
Sn 0.777 -1.640 13.285
Sn 3.348 -1.120 10.576
Sn 5.924 -0.766 7.844
```

---

No. 11
The following is a DFT calculation (PBE-GGA) of crystalline AgSnS6 at its relaxed geometry. Values from VASP.

E in eV per cell: -25.535

Structure (Quantum ESPRESSO input):
```
&SYSTEM
  ibrav = 0, nat = 8, ntyp = 3
/
ATOMIC_SPECIES
Ag 107.87 Ag.upf
S 32.06 S.upf
Sn 118.71 Sn.upf
CELL_PARAMETERS angstrom
0.000 4.459 4.459
4.459 0.000 4.459
4.459 4.459 0.000
ATOMIC_POSITIONS angstrom
Ag 0.000 0.000 0.000
S 2.495 4.459 4.459
S 4.459 2.495 4.459
S 4.459 4.459 6.422
S 4.459 4.459 2.495
S 4.459 6.422 4.459
S 6.422 4.459 4.459
Sn 2.229 2.229 2.229
```

---

No. 12
The following is a DFT calculation (PBE-GGA) of crystalline TlAgSnTe2S at its relaxed geometry. Values from VASP.

E in eV per cell: -41.400

Structure (Quantum ESPRESSO input):
```
&SYSTEM
  ibrav = 0, nat = 12, ntyp = 5
/
ATOMIC_SPECIES
Ag 107.87 Ag.upf
S 32.06 S.upf
Sn 118.71 Sn.upf
Te 127.60 Te.upf
Tl 204.38 Tl.upf
CELL_PARAMETERS angstrom
2.195 -6.565 0.000
2.195 6.565 0.000
0.000 0.000 11.677
ATOMIC_POSITIONS angstrom
Ag 2.195 0.910 2.919
Ag 2.195 -0.910 8.757
S 2.195 6.122 2.919
S 2.195 -6.122 8.757
Sn 0.000 0.000 0.000
Sn 0.000 0.000 5.838
Te 2.195 2.084 0.343
Te 2.195 2.084 5.496
Te 2.195 -2.084 6.181
Te 2.195 -2.084 11.334
Tl 2.195 -2.757 2.919
Tl 2.195 2.757 8.757
```

---

No. 13
The following is a DFT calculation (PBE-GGA) of crystalline TmAgSnTe2S at its relaxed geometry. Values from VASP.

E in eV per cell: -52.220

Structure (Quantum ESPRESSO input):
```
&SYSTEM
  ibrav = 0, nat = 12, ntyp = 5
/
ATOMIC_SPECIES
Ag 107.87 Ag.upf
S 32.06 S.upf
Sn 118.71 Sn.upf
Te 127.60 Te.upf
Tm 168.93 Tm.upf
CELL_PARAMETERS angstrom
-0.718 5.505 -5.073
-2.463 -2.951 6.464
6.828 5.675 5.193
ATOMIC_POSITIONS angstrom
Ag 0.147 2.844 1.793
Ag 3.500 5.386 4.791
S 0.849 6.246 -2.850
S 2.797 1.983 9.434
Sn -0.279 0.779 4.609
Sn 3.925 7.451 1.975
Te -0.969 2.840 -0.752
Te 1.722 5.077 1.295
Te 1.924 3.153 5.289
Te 4.615 5.390 7.335
Tm 0.000 0.000 0.000
Tm 3.414 2.838 2.596
```

---

No. 14
The following is a DFT calculation (PBE-GGA) of crystalline YAgSnTeS2 at its relaxed geometry. Values from VASP.

E in eV per cell: -59.409

Structure (Quantum ESPRESSO input):
```
&SYSTEM
  ibrav = 0, nat = 12, ntyp = 5
/
ATOMIC_SPECIES
Ag 107.87 Ag.upf
S 32.06 S.upf
Sn 118.71 Sn.upf
Te 127.60 Te.upf
Y 88.91 Y.upf
CELL_PARAMETERS angstrom
-4.326 0.656 -5.683
0.599 -1.634 6.958
-1.898 10.735 2.685
ATOMIC_POSITIONS angstrom
Ag -0.004 1.109 7.299
Ag -5.622 8.648 -3.339
S -0.152 -0.655 5.513
S -0.859 3.340 6.512
S -4.767 6.417 -2.552
S -5.473 10.413 -1.552
Sn -3.368 2.674 -1.335
Sn -2.257 7.083 5.295
Te -1.768 1.929 2.773
Te -3.858 7.828 1.188
Y -1.863 -0.489 0.638
Y -2.813 4.879 1.980
```

---

No. 15
The following is a DFT calculation (PBE-GGA) of crystalline ZnAg2SnTe2S2 at its relaxed geometry. Values from VASP.

E in eV per cell: -27.545

Structure (Quantum ESPRESSO input):
```
&SYSTEM
  ibrav = 0, nat = 8, ntyp = 5
/
ATOMIC_SPECIES
Ag 107.87 Ag.upf
S 32.06 S.upf
Sn 118.71 Sn.upf
Te 127.60 Te.upf
Zn 65.41 Zn.upf
CELL_PARAMETERS angstrom
6.072 -2.209 4.071
0.833 -4.047 6.275
1.832 -5.571 -1.141
ATOMIC_POSITIONS angstrom
Ag 2.282 -2.970 2.524
Ag 6.651 -8.883 7.126
S 4.602 -3.960 2.918
S 2.883 -7.698 3.454
Sn 4.327 -5.908 4.508
Te 3.093 -5.005 6.847
Te 6.842 -6.983 5.073
Zn 6.802 -6.242 10.113
```

---

| no. | density (g/cm3) |
| --- | --- |
| 1 | 5.6 |
| 2 | 5.4 |
| 3 | 5.2 |
| 4 | 5.2 |
| 5 | 5.5 |
| 6 | 6.7 |
| 7 | 6.7 |
| 8 | 6.8 |
| 9 | 6.1 |
| 10 | 5.4 |
| 11 | 3.9 |
| 12 | 7.1 |
| 13 | 7.1 |
| 14 | 5.4 |
| 15 | 5.3 |